VASP calculation (PBE) on a geometry-optimized Hf2ZrNi3As4Pd structure.

- space group = No. 6
- E_tot (eV per atom) = -7.03
- energy relative to the lowest polymorph listed for this composition (meV per atom) = 12
- crystal system = monoclinic

a b c (Å): 6.4490 3.8337 7.4679
angles (deg): 90.00 90.82 90.00
Fractional coordinates of all 11 atoms:
Ni 0.1422 0.0000 0.4453
Ni 0.8518 0.5000 0.5611
Ni 0.6459 0.0000 0.0618
Pd 0.3740 0.5000 0.9349
As 0.7660 0.0000 0.3810
As 0.7778 0.5000 0.8737
As 0.2255 0.5000 0.6199
As 0.2478 0.0000 0.1282
Hf 0.9683 0.5000 0.1851
Hf 0.5306 0.0000 0.6884
Zr 0.4680 0.5000 0.3179